1.
# Li5B8C8

Crystalline Li5B8C8 at its relaxed geometry (GGA-PBE, Alexandria via LeMat-Bulk).

abc: 7.2468 2.7246 9.3679
angles: 90.00 90.25 90.00
Last column: nearest neighbours and their distance in Å.
Fractional positions:
1 Li 0.0000 0.0000 0.0000  6 C 2.32-2.38, 6 B 2.33-2.38
2 Li 0.0021 0.5000 0.7290  6 C 2.31-2.46, 6 B 2.35-2.50
3 Li 0.4955 0.5000 0.2405  6 C 2.38-2.41, 6 B 2.39-2.41
4 Li 0.5045 0.5000 0.7595  6 C 2.38-2.41, 6 B 2.39-2.41
5 Li 0.9979 0.5000 0.2710  6 C 2.31-2.46, 6 B 2.35-2.50
6 B 0.2395 0.0000 0.1673  3 C 1.56-1.59
7 B 0.2475 0.5000 0.9181  3 C 1.57-1.58
8 B 0.2586 0.0000 0.6651  3 C 1.55-1.60
9 B 0.2611 0.5000 0.4190  3 C 1.57
10 B 0.7389 0.5000 0.5810  3 C 1.57
11 B 0.7414 0.0000 0.3349  3 C 1.55-1.60
12 B 0.7525 0.5000 0.0819  3 C 1.57-1.58
13 B 0.7605 0.0000 0.8327  3 C 1.56-1.59
14 C 0.2335 0.5000 0.0865  3 B 1.56-1.58
15 C 0.2493 0.0000 0.8356  3 B 1.57-1.60
16 C 0.2537 0.0000 0.3365  3 B 1.57-1.59
17 C 0.2624 0.5000 0.5868  3 B 1.55-1.57
18 C 0.7376 0.5000 0.4132  3 B 1.55-1.57
19 C 0.7463 0.0000 0.6635  3 B 1.57-1.59
20 C 0.7507 0.0000 0.1644  3 B 1.57-1.60
21 C 0.7665 0.5000 0.9135  3 B 1.56-1.58

***

2.
# ScAsHOs2

Crystalline ScAsHOs2 at its relaxed geometry (GGA-PBE, Alexandria via LeMat-Bulk).

abc: 4.7587 4.7587 3.2874
angles: 90.00 90.00 90.00
Last column: nearest neighbours and their distance in Å.
Fractional positions:
1 Sc 0.0000 0.0000 0.0000  8 Os 2.89
2 As 0.5000 0.5000 0.5000  2 H 1.64
3 H 0.5000 0.5000 0.0000  2 As 1.64
4 Os 0.0000 0.5000 0.5000  2 As 2.38
5 Os 0.5000 0.0000 0.5000  2 As 2.38

***

3.
# NaS

Crystalline NaS at its relaxed geometry (GGA-PBE, Alexandria via LeMat-Bulk).

abc: 4.0588 4.0588 4.0588
angles: 60.00 60.00 60.00
Last column: nearest neighbours and their distance in Å.
Fractional positions:
1 Na 0.0000 0.0000 0.0000  6 S 2.87
2 S 0.5000 0.5000 0.5000  6 Na 2.87

## Properties
Raw formation energy ... -63.1 kJ/mol of formula units

***

| no. | energy (eV/atom) |
| --- | --- |
| 1 | -6.652 |
| 2 | -6.814 |
| 3 | -3.050 |